Record 1
# Sm3GaNi9Ge2, optimized geometry, DFT PBE-GGA
# **M_tot**: 0.0 μB per cell
# **V**: 17.701 Å³ per atom
# **ΔE_f**: -0.21 eV/atom
data_Sm3GaNi9Ge2
_chemical_formula_sum 'Sm3 Ga1 Ni9 Ge2'
_symmetry_space_group_name_H-M 'P 1'
_symmetry_Int_Tables_number 1
_cell_length_a 5.970
_cell_length_b 5.970
_cell_length_c 8.603
_cell_angle_alpha 90.00
_cell_angle_beta 90.00
_cell_angle_gamma 120.00
loop_
_symmetry_equiv_pos_as_xyz
'x,y,z'
loop_
_atom_site_label
_atom_site_type_symbol
_atom_site_fract_x
_atom_site_fract_y
_atom_site_fract_z
Sm1 Sm 0.000 0.000 0.000
Sm2 Sm 0.333 0.667 0.687
Sm3 Sm 0.667 0.333 0.313
Ga1 Ga 0.000 0.000 0.500
Ni1 Ni 0.000 0.500 0.000
Ni2 Ni 0.134 0.268 0.281
Ni3 Ni 0.134 0.866 0.281
Ni4 Ni 0.268 0.134 0.719
Ni5 Ni 0.500 0.000 0.000
Ni6 Ni 0.500 0.500 0.000
Ni7 Ni 0.732 0.866 0.281
Ni8 Ni 0.866 0.134 0.719
Ni9 Ni 0.866 0.732 0.719
Ge1 Ge 0.333 0.667 0.184
Ge2 Ge 0.667 0.333 0.816

Record 2
# Sm2GaNi3Ge4, optimized geometry, DFT PBE-GGA
# **M_tot**: 0.0 μB per cell
# **V**: 17.164 Å³ per atom
# **ΔE_f**: -0.65 eV/atom
data_Sm2GaNi3Ge4
_chemical_formula_sum 'Sm2 Ga1 Ni3 Ge4'
_symmetry_space_group_name_H-M 'P 1'
_symmetry_Int_Tables_number 1
_cell_length_a 4.116
_cell_length_b 4.116
_cell_length_c 10.129
_cell_angle_alpha 90.00
_cell_angle_beta 90.00
_cell_angle_gamma 90.00
loop_
_symmetry_equiv_pos_as_xyz
'x,y,z'
loop_
_atom_site_label
_atom_site_type_symbol
_atom_site_fract_x
_atom_site_fract_y
_atom_site_fract_z
Sm1 Sm 0.000 0.500 0.241
Sm2 Sm 0.500 0.000 0.759
Ga1 Ga 0.000 0.000 0.500
Ni1 Ni 0.000 0.500 0.878
Ni2 Ni 0.500 0.000 0.122
Ni3 Ni 0.500 0.500 0.500
Ge1 Ge 0.000 0.000 0.000
Ge2 Ge 0.000 0.500 0.647
Ge3 Ge 0.500 0.000 0.353
Ge4 Ge 0.500 0.500 0.000

Record 3
# GaNi7Sn2Ge2, optimized geometry, DFT PBE-GGA
# **M_tot**: 0.0 μB per cell
# **V**: 14.693 Å³ per atom
# **ΔE_f**: -0.10 eV/atom
data_GaNi7Sn2Ge2
_chemical_formula_sum 'Ga1 Ni7 Sn2 Ge2'
_symmetry_space_group_name_H-M 'P 1'
_symmetry_Int_Tables_number 1
_cell_length_a 3.507
_cell_length_b 3.507
_cell_length_c 14.550
_cell_angle_alpha 96.91
_cell_angle_beta 96.91
_cell_angle_gamma 90.00
loop_
_symmetry_equiv_pos_as_xyz
'x,y,z'
loop_
_atom_site_label
_atom_site_type_symbol
_atom_site_fract_x
_atom_site_fract_y
_atom_site_fract_z
Ga1 Ga 0.000 0.000 0.000
Ni1 Ni 0.063 0.563 0.127
Ni2 Ni 0.277 0.277 0.555
Ni3 Ni 0.437 0.937 0.873
Ni4 Ni 0.500 0.500 0.000
Ni5 Ni 0.563 0.063 0.127
Ni6 Ni 0.723 0.723 0.445
Ni7 Ni 0.937 0.437 0.873
Sn1 Sn 0.370 0.370 0.740
Sn2 Sn 0.630 0.630 0.260
Ge1 Ge 0.196 0.196 0.393
Ge2 Ge 0.804 0.804 0.607

Record 4
# Ga2Ni7Sn2Ge, optimized geometry, DFT PBE-GGA
# **M_tot**: 0.0 μB per cell
# **V**: 15.010 Å³ per atom
# **ΔE_f**: -0.14 eV/atom
data_Ga2Ni7Sn2Ge
_chemical_formula_sum 'Ga2 Ni7 Sn2 Ge1'
_symmetry_space_group_name_H-M 'P 1'
_symmetry_Int_Tables_number 1
_cell_length_a 3.517
_cell_length_b 3.517
_cell_length_c 14.638
_cell_angle_alpha 94.24
_cell_angle_beta 94.24
_cell_angle_gamma 89.84
loop_
_symmetry_equiv_pos_as_xyz
'x,y,z'
loop_
_atom_site_label
_atom_site_type_symbol
_atom_site_fract_x
_atom_site_fract_y
_atom_site_fract_z
Ga1 Ga 0.124 0.124 0.414
Ga2 Ga 0.876 0.876 0.586
Ni1 Ni 0.039 0.539 0.123
Ni2 Ni 0.372 0.372 0.572
Ni3 Ni 0.461 0.961 0.877
Ni4 Ni 0.500 0.500 0.000
Ni5 Ni 0.539 0.039 0.123
Ni6 Ni 0.628 0.628 0.428
Ni7 Ni 0.961 0.461 0.877
Sn1 Sn 0.420 0.420 0.746
Sn2 Sn 0.580 0.580 0.254
Ge1 Ge 0.000 0.000 0.000

Record 5
# SrGa2Ni2Ge, optimized geometry, DFT PBE-GGA
# **M_tot**: 0.0 μB per cell
# **V**: 19.464 Å³ per atom
# **ΔE_f**: -0.26 eV/atom
data_SrGa2Ni2Ge
_chemical_formula_sum 'Sr1 Ga2 Ni2 Ge1'
_symmetry_space_group_name_H-M 'P 1'
_symmetry_Int_Tables_number 1
_cell_length_a 4.435
_cell_length_b 4.435
_cell_length_c 5.937
_cell_angle_alpha 90.00
_cell_angle_beta 90.00
_cell_angle_gamma 90.00
loop_
_symmetry_equiv_pos_as_xyz
'x,y,z'
loop_
_atom_site_label
_atom_site_type_symbol
_atom_site_fract_x
_atom_site_fract_y
_atom_site_fract_z
Sr1 Sr 0.000 0.000 0.000
Ga1 Ga 0.500 0.500 0.260
Ga2 Ga 0.500 0.500 0.740
Ni1 Ni 0.000 0.500 0.500
Ni2 Ni 0.500 0.000 0.500
Ge1 Ge 0.000 0.000 0.500

Record 6
# Sr2GaNi4Ge3, optimized geometry, DFT PBE-GGA
# **M_tot**: 0.0 μB per cell
# **V**: 17.760 Å³ per atom
# **ΔE_f**: -0.47 eV/atom
data_Sr2GaNi4Ge3
_chemical_formula_sum 'Sr2 Ga1 Ni4 Ge3'
_symmetry_space_group_name_H-M 'P 1'
_symmetry_Int_Tables_number 1
_cell_length_a 4.247
_cell_length_b 4.247
_cell_length_c 9.845
_cell_angle_alpha 90.00
_cell_angle_beta 90.00
_cell_angle_gamma 90.00
loop_
_symmetry_equiv_pos_as_xyz
'x,y,z'
loop_
_atom_site_label
_atom_site_type_symbol
_atom_site_fract_x
_atom_site_fract_y
_atom_site_fract_z
Sr1 Sr 0.000 0.500 0.247
Sr2 Sr 0.500 0.000 0.753
Ga1 Ga 0.000 0.000 0.500
Ni1 Ni 0.000 0.000 0.000
Ni2 Ni 0.000 0.500 0.628
Ni3 Ni 0.500 0.000 0.372
Ni4 Ni 0.500 0.500 0.000
Ge1 Ge 0.000 0.500 0.881
Ge2 Ge 0.500 0.000 0.119
Ge3 Ge 0.500 0.500 0.500